{
  "formula": "YZrTl2",
  "functional": "PBE",
  "state": "relaxed",
  "total_energy_ev_per_cell": -20.3,
  "lattice": [[-2.2034, 2.2034, 5.2588], [2.2034, -2.2034, 5.2588], [2.2034, 2.2034, -5.2588]],
  "species": ["Y", "Zr", "Tl", "Tl"],
  "frac_coords": [[0.0000, 0.0000, 0.0000], [0.2500, 0.7500, 0.5000], [0.5000, 0.5000, 0.0000], [0.7500, 0.2500, 0.5000]]
}



{
  "formula": "YZrTl2",
  "functional": "PBE",
  "state": "relaxed",
  "total_energy_ev_per_cell": -18.6,
  "lattice": [[0.0000, 3.8054, 3.8054], [3.8054, 0.0000, 3.8054], [3.8054, 3.8054, 0.0000]],
  "species": ["Y", "Zr", "Tl", "Tl"],
  "frac_coords": [[0.0000, 0.0000, 0.0000], [0.7500, 0.7500, 0.7500], [0.2500, 0.2500, 0.2500], [0.5000, 0.5000, 0.5000]]
}



{
  "formula": "YZrTl",
  "functional": "PBE",
  "state": "relaxed",
  "total_energy_ev_per_cell": -17.5,
  "e_above_lowest_polymorph_ev_per_atom": 0.185,
  "lattice": [[3.4413, 0.0000, 0.0000], [-1.7207, 2.9803, 0.0000], [0.0000, 0.0000, 7.8426]],
  "species": ["Y", "Zr", "Tl"],
  "frac_coords": [[0.0000, 0.0000, 0.0000], [0.6667, 0.3333, 0.3293], [0.3333, 0.6667, 0.6516]]
}



{
  "formula": "YZr2Tl",
  "functional": "PBE",
  "state": "relaxed",
  "total_energy_ev_per_cell": -26.2,
  "e_above_lowest_polymorph_ev_per_atom": 0.000,
  "lattice": [[4.5738, 0.0000, 0.0000], [0.0000, 4.5738, 0.0000], [0.0000, 0.0000, 4.6479]],
  "species": ["Y", "Zr", "Zr", "Tl"],
  "frac_coords": [[0.0000, 0.0000, 0.0000], [0.0000, 0.5000, 0.5000], [0.5000, 0.0000, 0.5000], [0.5000, 0.5000, 0.0000]]
}



{
  "formula": "YZrTl2",
  "functional": "PBE",
  "state": "relaxed",
  "total_energy_ev_per_cell": -20.3,
  "lattice": [[5.4100, 0.0000, 0.0000], [0.0000, 5.4100, 0.0000], [0.0000, 0.0000, 3.4269]],
  "species": ["Y", "Zr", "Tl", "Tl"],
  "frac_coords": [[0.0000, 0.0000, 0.0000], [0.5000, 0.5000, 0.0014], [0.0000, 0.5000, 0.5002], [0.5000, 0.0000, 0.5002]]
}



{
  "formula": "YZr2Tl",
  "functional": "PBE",
  "state": "relaxed",
  "total_energy_ev_per_cell": -25.9,
  "e_above_lowest_polymorph_ev_per_atom": 0.081,
  "lattice": [[3.2712, 0.0000, 0.0000], [0.0000, 5.5442, 0.0000], [-0.5916, 0.0000, 5.5830]],
  "species": ["Y", "Zr", "Zr", "Tl"],
  "frac_coords": [[0.0000, 0.0000, 0.0000], [0.3171, 0.5000, 0.7401], [0.6829, 0.5000, 0.2599], [0.5000, 0.0000, 0.5000]]
}



{
  "formula": "YZr2Tl",
  "functional": "PBE",
  "state": "relaxed",
  "total_energy_ev_per_cell": -26.1,
  "e_above_lowest_polymorph_ev_per_atom": 0.017,
  "lattice": [[-2.2656, 2.2656, 4.7620], [2.2656, -2.2656, 4.7620], [2.2656, 2.2656, -4.7620]],
  "species": ["Y", "Zr", "Zr", "Tl"],
  "frac_coords": [[0.0000, 0.0000, 0.0000], [0.2500, 0.7500, 0.5000], [0.5000, 0.5000, 0.0000], [0.7500, 0.2500, 0.5000]]
}



{
  "formula": "YZr2Tl",
  "functional": "PBE",
  "state": "relaxed",
  "total_energy_ev_per_cell": -26.0,
  "e_above_lowest_polymorph_ev_per_atom": 0.049,
  "lattice": [[5.6202, -1.6601, 0.0000], [5.6202, 1.6601, 0.0000], [-1.2220, 0.0000, 5.3641]],
  "species": ["Y", "Zr", "Zr", "Tl"],
  "frac_coords": [[0.0000, 0.0000, 0.0000], [0.2361, 0.2361, 0.7385], [0.7639, 0.7639, 0.2615], [0.5000, 0.5000, 0.5000]]
}



no.,magnetization (μB per atom)
1,0.00
2,0.79
3,0.00
4,0.00
5,0.00
6,0.00
7,0.00
8,0.00